Entry 1:
Al3CrAg after structural relaxation. Source: the Alexandria database, functional PBEsol.

a b c (Å): 4.590 4.590 4.590
angles (deg): 90.00 90.00 90.00
Space group Pm-3m (No. 221)
Inequivalent atoms, fractional coordinates:
Al: 0.000 0.000 0.500 x3
Cr: 0.000 0.000 0.000 x1
Ag: 0.500 0.500 0.500 x1

VASP energy ... -4.4850 eV/atom
DOS at the Fermi energy ... 3.9 states/eV/f.u.
Calculated volume ... 19.34 Å³ per atom



Entry 2:
MnCd2Re after structural relaxation. Source: the Alexandria database, functional PBEsol.

a b c (Å): 3.904 3.904 4.266
angles (deg): 90.00 90.00 90.00
Space group P4/mmm (No. 123)
Inequivalent atoms, fractional coordinates:
Mn: 0.000 0.000 0.000 x1
Cd: 0.000 0.500 0.500 x2
Re: 0.500 0.500 0.000 x1

VASP energy ... -5.7730 eV/atom
DOS at the Fermi energy ... 2.0 states/eV/f.u.
Calculated volume ... 16.26 Å³ per atom



Entry 3:
CaTlAs2 after structural relaxation. Source: the Alexandria database, functional PBEsol.

a b c (Å): 3.938 3.938 6.343
angles (deg): 90.00 90.00 90.00
Space group P4/mmm (No. 123)
Inequivalent atoms, fractional coordinates:
Ca: 0.000 0.000 0.000 x1
Tl: 0.000 0.000 0.500 x1
As: 0.500 0.500 0.193 x2

VASP energy ... -4.2318 eV/atom
DOS at the Fermi energy ... 1.2 states/eV/f.u.
Calculated volume ... 24.60 Å³ per atom



Which energy of formation from the pure elements belongs to each record? In order, 3.40 2.40 -1.95 eV/f.u..